[1]
## AcPr2YHo (PBE-GGA)

Data for a geometry-optimized AcPr2YHo structure.

**Spin magnetization**: 0.00 μB/cell
**ΔH_f (0 K)**: 0.36 eV/atom
**D(E_F)**: 1.379 states/eV/atom

abc: 8.5139 12.2381 7.4126
angles: 90.00 90.00 90.00
With the nearest neighbours (Å) after each atom.
Space group Cmcm (No. 63)
One atom of each set of equivalent atoms:
Ac: 0.0000 0.2432 0.2500 [4 per cell]  1 Y 3.55, 2 Ho 3.78
Pr: 0.1947 0.5000 0.0000 [8 per cell]  2 Y 3.24, 1 Pr 3.32, 2 Ho 3.46
Y: 0.0000 0.0471 0.7500 [4 per cell]  1 Ho 3.13, 4 Pr 3.24
Ho: 0.0000 0.3030 0.7500 [4 per cell]  1 Y 3.13, 4 Pr 3.46

[2]
## AcPrY2Ho (PBE-GGA)

Data for a geometry-optimized AcPrY2Ho structure.

**Spin magnetization**: 0.00 μB/cell
**ΔH_f (0 K)**: 0.39 eV/atom
**D(E_F)**: 1.729 states/eV/atom

abc: 6.5190 17.6808 6.5159
angles: 90.00 90.00 90.00
With the nearest neighbours (Å) after each atom.
Space group Cmcm (No. 63)
One atom of each set of equivalent atoms:
Ac: 0.0000 0.1595 0.2500 [4 per cell]  1 Pr 3.30, 4 Ho 3.63, 4 Y 3.65
Pr: 0.0000 0.3462 0.2500 [4 per cell]  1 Ac 3.30, 4 Y 3.56, 4 Ho 3.67-3.68
Y: 0.2485 0.5000 0.0000 [8 per cell]  4 Y 3.24-3.28, 2 Pr 3.56
Ho: 0.0000 0.2495 0.7500 [4 per cell]  4 Ac 3.63, 4 Pr 3.67-3.68

[3]
## AcPr5Y2Ho (PBE-GGA)

Data for a geometry-optimized AcPr5Y2Ho structure.

**Spin magnetization**: 0.00 μB/cell
**ΔH_f (0 K)**: 0.14 eV/atom
**D(E_F)**: 1.321 states/eV/atom

abc: 5.6222 24.7352 9.5377
angles: 90.00 90.00 90.00
With the nearest neighbours (Å) after each atom.
Space group Cmc2_1 (No. 36)
One atom of each set of equivalent atoms:
Ac: 0.0000 0.1022 0.0000 [4 per cell]  5 Pr 3.49-3.79
Pr: 0.0000 0.0237 0.6744 [4 per cell]  3 Pr 3.34-3.59, 2 Ac 3.53-3.66, 2 Y 3.57
Pr: 0.0000 0.1066 0.3976 [4 per cell]  4 Pr 3.34-3.69, 4 Y 3.55-3.69
Pr: 0.0000 0.1909 0.7052 [4 per cell]  3 Y 3.39-3.46, 3 Ho 3.47-3.52, 4 Pr 3.54-3.65, 1 Ac 3.57
Pr: 0.0000 0.2411 0.0649 [4 per cell]  3 Ho 3.16-3.26, 1 Ac 3.49, 2 Pr 3.54
Pr: 0.0000 0.4898 0.8913 [4 per cell]  2 Y 3.52-3.81, 6 Pr 3.59-3.91
Y: 0.0000 0.3269 0.7499 [4 per cell]  6 Pr 3.39-3.72, 1 Ho 3.77
Y: 0.0000 0.3878 0.1484 [4 per cell]  9 Pr 3.46-3.81, 1 Ho 3.87
Ho: 0.0000 0.2625 0.3918 [4 per cell]  6 Pr 3.16-3.52

[4]
## AcPr2Y5Ho (PBE-GGA)

Data for a geometry-optimized AcPr2Y5Ho structure.

**Spin magnetization**: 0.00 μB/cell
**ΔH_f (0 K)**: 0.26 eV/atom
**D(E_F)**: 1.136 states/eV/atom

abc: 8.7940 8.7940 16.0194
angles: 90.00 90.00 90.00
With the nearest neighbours (Å) after each atom.
Space group I4/mcm (No. 140)
One atom of each set of equivalent atoms:
Ac: 0.0000 0.5000 0.2500 [4 per cell]  4 Y 3.22
Pr: 0.1167 0.3833 0.0000 [8 per cell]  1 Pr 2.90, 2 Y 3.03
Y: 0.0000 0.0000 0.0000 [4 per cell]  4 Pr 3.52, 8 Y 3.82
Y: 0.2129 0.2871 0.3645 [16 per cell]  1 Pr 3.03, 1 Ac 3.22
Ho: 0.0000 0.0000 0.2500 [4 per cell]  10 Y 3.64-4.00

[5]
## AcPr5YHo2 (PBE-GGA)

Data for a geometry-optimized AcPr5YHo2 structure.

**Spin magnetization**: 0.00 μB/cell
**ΔH_f (0 K)**: 0.14 eV/atom
**D(E_F)**: 1.298 states/eV/atom

abc: 5.6148 24.4790 9.6160
angles: 90.00 90.00 90.00
With the nearest neighbours (Å) after each atom.
Space group Cmc2_1 (No. 36)
One atom of each set of equivalent atoms:
Ac: 0.0000 0.1028 0.0000 [4 per cell]  5 Pr 3.45-3.77
Pr: 0.0000 0.0247 0.6701 [4 per cell]  3 Pr 3.34-3.59, 2 Ac 3.52-3.70, 2 Ho 3.54
Pr: 0.0000 0.1067 0.3919 [4 per cell]  4 Pr 3.34-3.69, 4 Ho 3.52-3.66
Pr: 0.0000 0.1885 0.7020 [4 per cell]  3 Ho 3.39-3.44, 3 Y 3.53, 4 Pr 3.53-3.77, 1 Ac 3.55
Pr: 0.0000 0.2409 0.0702 [4 per cell]  3 Y 3.18-3.28, 1 Ac 3.45, 2 Pr 3.53
Pr: 0.0000 0.4911 0.8864 [4 per cell]  2 Ho 3.48-3.82, 4 Pr 3.59-3.69
Y: 0.0000 0.2670 0.3942 [4 per cell]  6 Pr 3.18-3.53
Ho: 0.0000 0.3257 0.7537 [4 per cell]  6 Pr 3.39-3.69, 1 Y 3.74
Ho: 0.0000 0.3880 0.1355 [4 per cell]  9 Pr 3.44-3.82

[6]
## Ac2Pr2YHo (PBE-GGA)

Data for a geometry-optimized Ac2Pr2YHo structure.

**Spin magnetization**: 0.00 μB/cell
**ΔH_f (0 K)**: 0.08 eV/atom
**D(E_F)**: 1.694 states/eV/atom

abc: 5.9228 10.2369 7.3723
angles: 90.00 90.00 90.00
With the nearest neighbours (Å) after each atom.
Space group Pmc2_1 (No. 26)
One atom of each set of equivalent atoms:
Ac: 0.0000 0.0005 0.0000 [2 per cell]  6 Ac 3.69-3.92, 2 Ho 3.92, 6 Pr 3.92-4.00
Ac: 0.5000 0.1752 0.2504 [2 per cell]  5 Pr 3.44-3.69, 2 Y 3.80
Pr: 0.0000 0.3459 0.2498 [2 per cell]  1 Ho 3.24, 2 Ac 3.44
Pr: 0.5000 0.1755 0.7499 [2 per cell]  2 Ho 3.40, 3 Ac 3.59-3.69, 2 Y 3.80
Y: 0.5000 0.4998 0.9996 [2 per cell]  2 Y 3.69, 6 Pr 3.80-3.83, 2 Ac 3.80, 4 Ho 3.86
Ho: 0.0000 0.3379 0.7494 [2 per cell]  3 Pr 3.24-3.40